(1)
An optimized crystal structure of LiTm2Pt. Source: Alexandria, functional PBE-GGA.

Electronic total energy, eV/cell: -79.14
Total magnetization, μB per cell: 0.00
Formation enthalpy at 0 K, meV per atom: -722
Density of states at the Fermi level, states/eV per atom: 0.78

Cell: 6.9404 6.9404 6.9404 Å, 90.00 90.00 90.00°
Last column: nearest neighbours and their distance in Å.
Element x y z (fractional)
Li 0.0000 0.0000 0.0000  8 Tm 3.01
Li 0.0000 0.5000 0.5000  8 Tm 3.01
Li 0.5000 0.0000 0.5000  8 Tm 3.01
Li 0.5000 0.5000 0.0000  8 Tm 3.01
Tm 0.2500 0.2500 0.2500  4 Pt 3.01, 4 Li 3.01
Tm 0.2500 0.2500 0.7500  4 Li 3.01, 4 Pt 3.01
Tm 0.2500 0.7500 0.2500  4 Li 3.01, 4 Pt 3.01
Tm 0.2500 0.7500 0.7500  4 Li 3.01, 4 Pt 3.01
Tm 0.7500 0.2500 0.2500  4 Li 3.01, 4 Pt 3.01
Tm 0.7500 0.2500 0.7500  4 Li 3.01, 4 Pt 3.01
Tm 0.7500 0.7500 0.2500  4 Li 3.01, 4 Pt 3.01
Tm 0.7500 0.7500 0.7500  4 Li 3.01, 4 Pt 3.01
Pt 0.0000 0.0000 0.5000  8 Tm 3.01
Pt 0.0000 0.5000 0.0000  8 Tm 3.01
Pt 0.5000 0.0000 0.0000  8 Tm 3.01
Pt 0.5000 0.5000 0.5000  8 Tm 3.01

---

(2)
An optimized crystal structure of Pb5W3. Source: Alexandria, functional PBE-GGA.

Electronic total energy, eV/cell: -95.75
Total magnetization, μB per cell: 0.56
Formation enthalpy at 0 K, meV per atom: 1191
Density of states at the Fermi level, states/eV per atom: 1.05

Cell: 8.4775 8.4775 5.8547 Å, 90.00 90.00 120.00°
Last column: nearest neighbours and their distance in Å.
Element x y z (fractional)
Pb 0.0000 0.2451 0.2500  5 W 2.96-3.21
Pb 0.0000 0.7549 0.7500  5 W 2.96-3.21
Pb 0.2451 0.0000 0.2500  5 W 2.96-3.21
Pb 0.2451 0.2451 0.7500  5 W 2.96-3.21
Pb 0.3333 0.6667 0.0000  2 Pb 2.93, 6 W 2.98
Pb 0.3333 0.6667 0.5000  2 Pb 2.93, 6 W 2.98
Pb 0.6667 0.3333 0.0000  2 Pb 2.93, 6 W 2.98
Pb 0.6667 0.3333 0.5000  2 Pb 2.93, 6 W 2.98
Pb 0.7549 0.0000 0.7500  5 W 2.96-3.21
Pb 0.7549 0.7549 0.2500  5 W 2.96-3.21
W 0.0000 0.3995 0.7500  9 Pb 2.96-3.21
W 0.0000 0.6005 0.2500  9 Pb 2.96-3.21
W 0.3995 0.0000 0.7500  9 Pb 2.96-3.21
W 0.3995 0.3995 0.2500  9 Pb 2.96-3.21
W 0.6005 0.0000 0.2500  9 Pb 2.96-3.21
W 0.6005 0.6005 0.7500  9 Pb 2.96-3.21

---

(3)
An optimized crystal structure of YSc2AuO. Source: Alexandria, functional PBE-GGA.

Formation energy (no corrections), eV/f.u.: -7.682
Electronic total energy, eV/cell: -35.04
Total magnetization, μB per cell: 0.00
Density of states at the Fermi level, states/eV per atom: 1.01

Cell: 4.4097 4.4097 4.7098 Å, 90.00 90.00 90.00°
Last column: nearest neighbours and their distance in Å.
Element x y z (fractional)
Y 0.0000 0.0000 0.0000  2 O 2.35
Sc 0.0000 0.5000 0.5000  2 O 2.20
Sc 0.5000 0.0000 0.5000  2 O 2.20
Au 0.5000 0.5000 0.0000  4 Y 3.12, 8 Sc 3.23
O 0.0000 0.0000 0.5000  4 Sc 2.20, 2 Y 2.35

---

(4)
An optimized crystal structure of Tl2SiW. Source: Alexandria, functional PBE-GGA.

Formation energy (no corrections), eV/f.u.: 4.442
Electronic total energy, eV/cell: -18.67
Total magnetization, μB per cell: 0.00
Density of states at the Fermi level, states/eV per atom: 0.54

Cell: 5.2187 5.2187 3.0348 Å, 90.00 90.00 90.00°
Last column: nearest neighbours and their distance in Å.
Element x y z (fractional)
Tl 0.0000 0.5000 0.0000  4 W 3.02, 4 Si 3.02, 2 Tl 3.03
Tl 0.5000 0.0000 0.0000  4 W 3.02, 4 Si 3.02, 2 Tl 3.03
Si 0.0000 0.0000 0.5000  8 Tl 3.02, 2 Si 3.03
W 0.5000 0.5000 0.5000  8 Tl 3.02, 2 W 3.03

---

(5)
An optimized crystal structure of KTlO3. Source: Alexandria, functional PBE-GGA.

Formation energy (no corrections), eV/f.u.: 2.591
Electronic total energy, eV/cell: -15.75
Total magnetization, μB per cell: 4.00
Density of states at the Fermi level, states/eV per atom: 1.31

Cell: 4.6298 4.6298 4.6298 Å, 90.00 90.00 90.00°
Last column: nearest neighbours and their distance in Å.
Element x y z (fractional)
K 0.0000 0.0000 0.0000  6 O 2.31
Tl 0.5000 0.5000 0.5000  12 O 3.27
O 0.0000 0.0000 0.5000  2 K 2.31
O 0.0000 0.5000 0.0000  2 K 2.31
O 0.5000 0.0000 0.0000  2 K 2.31

---

(6)
An optimized crystal structure of Np2U5P3. Source: Alexandria, functional PBE-GGA.

Electronic total energy, eV/cell: -206.80
Total magnetization, μB per cell: 3.36
Formation enthalpy at 0 K, meV per atom: -485
Density of states at the Fermi level, states/eV per atom: 2.36

Cell: 7.2230 7.7629 8.4497 Å, 111.77 110.74 95.78°
Last column: nearest neighbours and their distance in Å.
Element x y z (fractional)
Np 0.1193 0.0942 0.2814  3 U 2.50-2.52, 1 P 2.72
Np 0.3639 0.7940 0.7067  3 U 2.47-2.49, 2 P 2.73-2.74
Np 0.6361 0.2060 0.2933  3 U 2.47-2.49, 2 P 2.73-2.74
Np 0.8807 0.9058 0.7186  3 U 2.50-2.52, 1 P 2.72
U 0.0151 0.3649 0.2083  1 Np 2.51, 1 U 2.55
U 0.0274 0.7877 0.4797  2 Np 2.49-2.52, 1 P 2.78
U 0.2469 0.3745 0.0427  1 U 2.55, 5 P 2.73-2.78
U 0.4578 0.1455 0.8142  1 Np 2.47, 1 P 2.75
U 0.4751 0.2908 0.5181  2 Np 2.49-2.50
U 0.5249 0.7092 0.4819  2 Np 2.49-2.50
U 0.5422 0.8545 0.1858  1 Np 2.47, 1 P 2.75
U 0.7531 0.6255 0.9573  1 U 2.55, 5 P 2.73-2.78
U 0.9726 0.2123 0.5203  2 Np 2.49-2.52, 1 P 2.78
U 0.9849 0.6351 0.7917  1 Np 2.51, 1 U 2.55
P 0.1665 0.7199 0.1954  7 U 2.73-2.96, 1 Np 2.81
P 0.2649 0.0051 0.9951  4 Np 2.72-2.85, 4 U 2.75-2.83
P 0.3327 0.4911 0.7979  1 Np 2.74, 6 U 2.75-2.95
P 0.6673 0.5089 0.2021  1 Np 2.74, 6 U 2.75-2.95
P 0.7351 0.9949 0.0049  4 Np 2.72-2.85, 4 U 2.75-2.83
P 0.8335 0.2801 0.8046  7 U 2.73-2.96, 1 Np 2.81

---

(7)
An optimized crystal structure of LaCe2Ni2Sb2. Source: Alexandria, functional PBE-GGA.

Formation energy (no corrections), eV/f.u.: -4.767
Electronic total energy, eV/cell: -41.37
Total magnetization, μB per cell: 1.19
Density of states at the Fermi level, states/eV per atom: 1.46

Cell: 9.8468 9.8468 9.8468 Å, 25.93 25.93 25.93°
Last column: nearest neighbours and their distance in Å.
Element x y z (fractional)
La 0.0000 0.0000 0.0000  6 Sb 3.26
Ce 0.1415 0.1415 0.1415  3 Ni 2.81, 3 Ce 2.93
Ce 0.8585 0.8585 0.8585  3 Ni 2.81, 3 Ce 2.93
Ni 0.4333 0.4333 0.4333  3 Sb 2.68, 3 Ce 2.81
Ni 0.5667 0.5667 0.5667  3 Sb 2.68, 3 Ce 2.81
Sb 0.2623 0.2623 0.2623  3 Ni 2.68
Sb 0.7377 0.7377 0.7377  3 Ni 2.68

---

no.,V (A^3/atom)
1,20.9
2,22.8
3,18.3
4,20.7
5,19.8
6,19.8
7,23.0